{
  "formula": "LiAcNiF6",
  "functional": "PBE with a Hubbard U",
  "state": "optimized geometry",
  "lattice_angstrom": [[5.293, 0.000, 0.000], [-2.647, 4.584, 0.000], [0.000, 0.000, 5.290]],
  "species": ["Li", "Ac", "Ni", "F", "F", "F", "F", "F", "F"],
  "frac_coords": [[0.000, 0.000, 0.000], [0.667, 0.333, 0.500], [0.333, 0.667, 0.000], [0.034, 0.338, 0.218], [0.034, 0.696, 0.782], [0.304, 0.338, 0.782], [0.304, 0.966, 0.218], [0.662, 0.696, 0.218], [0.662, 0.966, 0.782]],
  "vol_a3_per_atom": 14.26,
  "final_energy_ev_per_atom": -5.432,
  "spacegroup": "P312, No. 149",
  "crystal_system": "trigonal"
}